No. 1
{
  "formula": "YAlMo2",
  "functional": "PBE",
  "state": "relaxed",
  "cell": [[-0.031, -5.524, 0.361], [2.243, 2.223, -4.540], [2.735, -0.465, 0.539]],
  "species": ["Y", "Mo", "Mo", "Al"],
  "frac_coords": [[0.000, 0.500, 0.500], [0.000, 0.000, 0.000], [0.500, 0.000, 0.500], [0.500, 0.500, 0.000]],
  "e_form_kj_per_mol_atoms": 27.3,
  "sg": "C2/m (12)"
}

No. 2
{
  "formula": "BeIn2Cl",
  "functional": "PBE",
  "state": "relaxed",
  "cell": [[5.723, 0.046, 0.027], [1.913, 5.394, -0.027], [-2.934, -3.960, 2.909]],
  "species": ["Be", "Cl", "In", "In"],
  "frac_coords": [[0.750, 0.250, 0.500], [0.250, 0.750, 0.500], [0.968, 0.968, 0.000], [0.532, 0.532, 0.000]],
  "sg": "Immm (71)",
  "e_above_lowest_polymorph_ev_per_atom": 0.342,
  "formation_energy_uncorrected_mev_per_atom": 218
}

No. 3
{
  "formula": "PSe",
  "functional": "PBE",
  "state": "relaxed",
  "cell": [[1.596, 5.316, 0.049], [-1.596, 5.316, 0.049], [0.000, 1.296, 8.934]],
  "species": ["P", "P", "P", "Se", "Se", "Se"],
  "frac_coords": [[0.022, 0.022, 0.045], [0.674, 0.674, 0.684], [0.542, 0.542, 0.216], [0.337, 0.337, 0.327], [0.031, 0.031, 0.635], [0.227, 0.227, 0.927]],
  "sg": "Cm (8)",
  "e_above_lowest_polymorph_ev_per_atom": 0.244,
  "formation_energy_uncorrected_mev_per_atom": 164
}

No. 4
{
  "formula": "InOsAu2",
  "functional": "PBE",
  "state": "relaxed",
  "cell": [[4.961, -0.019, 0.000], [1.390, 4.763, 0.000], [-3.176, -2.372, 2.984]],
  "species": ["Au", "Au", "In", "Os"],
  "frac_coords": [[0.000, 0.000, 0.000], [0.250, 0.750, 0.500], [0.500, 0.500, 0.000], [0.750, 0.250, 0.500]],
  "e_form_kj_per_mol_atoms": 43.1,
  "sg": "I-4m2 (119)"
}